An optimized crystal structure of MgBeRu3, computed with PBE.

a b c (Å): 4.434 4.434 4.434
angles (deg): 90.00 90.00 90.00
Sites, in units of the cell vectors:
Mg 0.000 0.000 0.000
Be 0.500 0.500 0.500
Ru 0.000 0.000 0.500
Ru 0.000 0.500 0.000
Ru 0.500 0.000 0.000

E above lowest polymorph: 1549 meV/atom
DFT formation energy: 1975 meV/atom
SG: No. 221